[1]
The following is a DFT calculation (GGA-PBE) of an optimized crystal structure of Ba2NpBr3O3.

## Properties
Calculated volume: 225.6 Å³/cell
Uncorrected formation energy: -1969 meV/atom
Total magnetization: 1.78 μB per cell

Cell: 8.6639 8.6639 3.4703 Å, 90.00 90.00 120.00°
With the nearest neighbours (Å) after each atom.
Element x y z (fractional)
Ba (0.3333, 0.6667, 0.0000)  6 Br 3.14, 2 Ba 3.47
Ba (0.6667, 0.3333, 0.0000)  6 Br 3.14, 2 Ba 3.47
Np (0.0000, 0.0000, 0.5000)  6 O 2.27
Br (0.0000, 0.5898, 0.5000)  4 Ba 3.14, 2 Br 3.47
Br (0.4102, 0.4102, 0.5000)  4 Ba 3.14, 2 Br 3.47
Br (0.5898, 0.0000, 0.5000)  4 Ba 3.14, 2 Br 3.47
O (0.0000, 0.1687, 0.0000)  2 Np 2.27, 2 O 2.53
O (0.1687, 0.0000, 0.0000)  2 Np 2.27, 2 O 2.53
O (0.8313, 0.8313, 0.0000)  2 Np 2.27, 2 O 2.53

---

[2]
The following is a DFT calculation (GGA-PBE) of an optimized crystal structure of Sr3Mg2In4.

## Properties
Energy of formation from the pure elements: -3.21 eV/f.u.
Calculated volume: 272.9 Å³/cell
Total magnetization: 0.00 μB per cell

Cell: 6.4748 6.4748 9.8366 Å, 113.44 113.44 47.28°
With the nearest neighbours (Å) after each atom.
Element x y z (fractional)
Sr (0.0000, 0.0000, 0.0000)  8 In 3.45-3.72, 4 Mg 3.75
Sr (0.3405, 0.3405, 0.3293)  8 In 3.41-3.71, 4 Mg 3.49-3.58
Sr (0.6595, 0.6595, 0.6707)  8 In 3.41-3.71, 4 Mg 3.49-3.58
Mg (0.3676, 0.3676, 0.6968)  3 In 2.98-3.02
Mg (0.6324, 0.6324, 0.3032)  3 In 2.98-3.02
In (0.0509, 0.0509, 0.3807)  2 Mg 2.98, 1 In 3.07
In (0.2551, 0.2551, 0.9193)  1 Mg 3.02, 2 In 3.07
In (0.7449, 0.7449, 0.0807)  1 Mg 3.02, 2 In 3.07
In (0.9491, 0.9491, 0.6193)  2 Mg 2.98, 1 In 3.07

---

[3]
The following is a DFT calculation (GGA-PBE) of an optimized crystal structure of Li2ZnPt.

## Properties
Energy of formation from the pure elements: -1.78 eV/f.u.
Calculated volume: 57.0 Å³/cell
Total magnetization: 0.00 μB per cell

Cell: 2.7883 4.3561 4.7393 Å, 90.00 97.78 90.00°
With the nearest neighbours (Å) after each atom.
Element x y z (fractional)
Li (0.2393, 0.0000, 0.2335)  1 Li 2.42, 2 Pt 2.59, 2 Zn 2.65
Li (0.7607, 0.0000, 0.7665)  1 Li 2.42, 2 Pt 2.59, 2 Zn 2.65
Zn (0.0000, 0.5000, 0.5000)  2 Pt 2.58, 4 Li 2.65, 2 Zn 2.79
Pt (0.5000, 0.5000, 0.0000)  2 Zn 2.58, 4 Li 2.59, 2 Pt 2.79